[1]
The following is a DFT calculation (GGA-PBE) of an optimized crystal structure of Lu2ThN.

The uncorrected formation energy comes out at -2.89 eV per formula unit. The calculation puts the distance to the lowest polymorph of the same formula at 0 kJ/mol of formula units. As for the total energy: -0.2543 Ha/atom.

It has space group R-3m (No. 166, hexagonal axes), with a = 3.3577 Å, b = 3.3577 Å, c = 28.2304 Å, α = 90.00°, β = 90.00° and γ = 120.00°. The asymmetric unit holds Lu at (0.0000, 0.0000, 0.1204), Th at (0.0000, 0.0000, 0.0000) and N at (0.0000, 0.0000, 0.5000).

=====

[2]
The following is a DFT calculation (GGA-PBE) of an optimized crystal structure of CaY2Er.

The formation energy is 0.158 eV per atom. The calculation puts the distance to the lowest polymorph of the same formula at 37 kJ/mol of formula units. As for the total energy: -0.1733 Ha/atom.

It has space group R-3m (No. 166, hexagonal axes), with a = 3.5502 Å, b = 3.5502 Å, c = 37.5646 Å, α = 90.00°, β = 90.00° and γ = 120.00°. The asymmetric unit holds Ca at (0.0000, 0.0000, 0.0000), Y at (0.0000, 0.0000, 0.0913) and Er at (0.0000, 0.0000, 0.5000).

=====

[3]
The following is a DFT calculation (GGA-PBE) of an optimized crystal structure of SrLaSe3.

The uncorrected formation energy comes out at -6.50 eV per formula unit. The calculation puts the distance to the lowest polymorph of the same formula at 0 kJ/mol of formula units. As for the total energy: -0.1732 Ha/atom.

It has space group Pm-3m (No. 221), with a = 5.703 Å, b = 5.703 Å, c = 5.703 Å, α = 90.00°, β = 90.00° and γ = 90.00°. The asymmetric unit holds Sr at (0.000, 0.000, 0.000), La at (0.500, 0.500, 0.500) and Se at (0.000, 0.500, 0.500).

=====

[4]
The following is a DFT calculation (GGA-PBE) of an optimized crystal structure of SrNdBeN2.

The uncorrected formation energy comes out at -3.87 eV per formula unit. As for the total energy: -0.2256 Ha/atom.

It has space group Pccm (No. 49), with a = 5.308 Å, b = 5.354 Å, c = 6.929 Å, α = 90.00°, β = 90.00° and γ = 90.00°. The asymmetric unit holds Sr at (0.000, 0.000, 0.250), Nd at (0.500, 0.500, 0.250), Be at (0.500, 0.000, 0.000) and N at (0.321, 0.227, 0.000).